Below is a relaxed GdHfHg crystal, with properties calculated at the GGA-PBE level.

Cell: 3.4031 3.4031 12.8232 Å, 90.00 90.00 90.00°
Closest atoms and distances in Å follow each position.
Space group I4mm (No. 107)
Asymmetric unit:
Gd 0.0000 0.0000 0.0000 [2 per cell]  4 Hf 3.30, 4 Hg 3.32, 4 Gd 3.40
Hf 0.0000 0.0000 0.6758 [2 per cell]  4 Hg 3.05, 4 Gd 3.30, 4 Hf 3.40
Hg 0.0000 0.0000 0.3214 [2 per cell]  4 Hf 3.05, 4 Gd 3.32, 4 Hg 3.40

calculated total energy = -8.243 eV/atom
formation enthalpy at 0 K = -131 meV/atom
crystal system = tetragonal
spin magnetization = 7.147 μB/f.u.
D(E_F) = 0.516 states/eV/atom